No. 1
Compound: Li2TeRhO6
Source: the Alexandria database
Functional: GGA-PBE
Structure: relaxed

E_form (uncorrected): -1007 meV/atom
mass density: 4606 kg/m³
energy: -5.414 eV per atom
calculated volume: 122.7 Å³ per cell

a = 5.613 Å, b = 5.613 Å, c = 3.895 Å
α = 90.00°, β = 90.00°, γ = 90.00°
Space group P4mm (No. 99)
Symmetry-distinct sites (fractional):
Li (0.000, 0.500, 0.000)
Te (0.000, 0.000, 0.766)
Rh (0.500, 0.500, 0.759)
O (0.000, 0.000, 0.281)
O (0.244, 0.244, 0.838)
O (0.500, 0.500, 0.278)

=====

No. 2
Compound: Li3ThRh4O12
Source: the Alexandria database
Functional: GGA-PBE
Structure: relaxed

E_form (uncorrected): -1396 meV/atom
mass density: 6584 kg/m³
energy: -6.499 eV per atom
calculated volume: 432.0 Å³ per cell

a = 7.559 Å, b = 7.559 Å, c = 7.559 Å
α = 90.00°, β = 90.00°, γ = 90.00°
Space group Im-3 (No. 204)
Symmetry-distinct sites (fractional):
Li (0.000, 0.000, 0.500)
Th (0.000, 0.000, 0.000)
Rh (0.250, 0.250, 0.250)
O (0.000, 0.294, 0.173)

=====

No. 3
Compound: Li4TiRh3O8
Source: the Alexandria database
Functional: GGA-PBE
Structure: relaxed

E_form (uncorrected): -1543 meV/atom
mass density: 5444 kg/m³
energy: -6.373 eV per atom
calculated volume: 468.8 Å³ per cell

a = 6.0793 Å, b = 6.0793 Å, c = 14.6479 Å
α = 90.00°, β = 90.00°, γ = 120.00°
Space group R-3m (No. 166, hexagonal axes)
Symmetry-distinct sites (fractional):
Li (0.0000, 0.0000, 0.0000)
Li (0.0000, 0.5000, 0.0000)
Ti (0.0000, 0.0000, 0.5000)
Rh (0.0000, 0.5000, 0.5000)
O (0.0000, 0.0000, 0.2439)
O (0.0140, 0.5070, 0.2447)

=====

No. 4
Compound: LiTi2RhO
Source: the Alexandria database
Functional: GGA-PBE
Structure: relaxed

E_form (uncorrected): -1308 meV/atom
mass density: 5896 kg/m³
energy: -7.311 eV per atom
calculated volume: 62.4 Å³ per cell

a = 4.129 Å, b = 4.129 Å, c = 3.661 Å
α = 90.00°, β = 90.00°, γ = 90.00°
Space group P4/mmm (No. 123)
Symmetry-distinct sites (fractional):
Li (0.000, 0.000, 0.000)
Ti (0.000, 0.500, 0.500)
Rh (0.500, 0.500, 0.000)
O (0.000, 0.000, 0.500)

=====

No. 5
Compound: Li3TlRh3O8
Source: the Alexandria database
Functional: GGA-PBE
Structure: relaxed

E_form (uncorrected): -985 meV/atom
mass density: 6575 kg/m³
energy: -5.640 eV per atom
calculated volume: 501.5 Å³ per cell

a = 6.3077 Å, b = 6.3077 Å, c = 14.5537 Å
α = 90.00°, β = 90.00°, γ = 120.00°
Space group R-3m (No. 166, hexagonal axes)
Symmetry-distinct sites (fractional):
Li (0.0000, 0.5000, 0.0000)
Tl (0.0000, 0.0000, 0.5000)
Rh (0.0000, 0.5000, 0.5000)
O (0.0000, 0.0000, 0.2412)
O (0.0277, 0.5139, 0.7576)

=====

No. 6
Compound: LiTl2RhO6
Source: the Alexandria database
Functional: GGA-PBE
Structure: relaxed

E_form (uncorrected): -802 meV/atom
mass density: 8112 kg/m³
energy: -5.177 eV per atom
calculated volume: 377.4 Å³ per cell

a = 5.5464 Å, b = 5.5464 Å, c = 14.1678 Å
α = 90.00°, β = 90.00°, γ = 120.00°
Space group R3 (No. 146, hexagonal axes)
Symmetry-distinct sites (fractional):
Li (0.0000, 0.0000, 0.0000)
Tl (0.0000, 0.0000, 0.2649)
Tl (0.0000, 0.0000, 0.7698)
Rh (0.0000, 0.0000, 0.4852)
O (0.0098, 0.3967, 0.2253)
O (0.0698, 0.7033, 0.0648)

=====

No. 7
Compound: Li2TmRhO4
Source: the Alexandria database
Functional: GGA-PBE
Structure: relaxed

E_form (uncorrected): -2069 meV/atom
mass density: 6822 kg/m³
energy: -6.505 eV per atom
calculated volume: 85.1 Å³ per cell

a = 5.175 Å, b = 3.229 Å, c = 5.359 Å
α = 90.00°, β = 108.08°, γ = 90.00°
Space group P2/m (No. 10)
Symmetry-distinct sites (fractional):
Li (0.000, 0.000, 0.000)
Li (0.500, 0.500, 0.000)
Tm (0.000, 0.500, 0.500)
Rh (0.500, 0.000, 0.500)
O (0.244, 0.000, 0.747)
O (0.289, 0.500, 0.267)

=====

No. 8
Compound: Li3Tm2RhO6
Source: the Alexandria database
Functional: GGA-PBE
Structure: relaxed

E_form (uncorrected): -2358 meV/atom
mass density: 6925 kg/m³
energy: -6.673 eV per atom
calculated volume: 267.4 Å³ per cell

a = 5.451 Å, b = 9.680 Å, c = 5.314 Å
α = 90.00°, β = 107.50°, γ = 90.00°
Space group C2/m (No. 12)
Symmetry-distinct sites (fractional):
Li (0.000, 0.000, 0.000)
Li (0.000, 0.365, 0.000)
Tm (0.000, 0.167, 0.500)
Rh (0.000, 0.500, 0.500)
O (0.227, 0.341, 0.738)
O (0.248, 0.000, 0.741)

=====

No. 9
Compound: LiTm2RhO6
Source: the Alexandria database
Functional: GGA-PBE
Structure: relaxed

E_form (uncorrected): -2339 meV/atom
mass density: 8078 kg/m³
energy: -7.135 eV per atom
calculated volume: 223.5 Å³ per cell

a = 5.231 Å, b = 5.667 Å, c = 9.080 Å
α = 90.00°, β = 123.85°, γ = 90.00°
Space group P2_1/c (No. 14)
Symmetry-distinct sites (fractional):
Li (0.000, 0.000, 0.000)
Tm (0.220, 0.084, 0.745)
Rh (0.500, 0.000, 0.500)
O (0.129, 0.183, 0.441)
O (0.260, 0.702, 0.432)
O (0.384, 0.048, 0.253)

=====

No. 10
Compound: Li2URhO8
Source: the Alexandria database
Functional: GGA-PBE
Structure: relaxed

E_form (uncorrected): -1523 meV/atom
mass density: 5595 kg/m³
energy: -6.700 eV per atom
calculated volume: 143.3 Å³ per cell

a = 4.720 Å, b = 6.406 Å, c = 4.741 Å
α = 90.00°, β = 91.65°, γ = 90.00°
Space group P2/m (No. 10)
Symmetry-distinct sites (fractional):
Li (0.000, 0.238, 0.000)
U (0.500, 0.500, 0.500)
Rh (0.500, 0.000, 0.500)
O (0.215, 0.500, 0.213)
O (0.222, 0.000, 0.220)
O (0.308, 0.231, 0.689)

=====

no.,spin magnetization (μB per cell)
1,0.85
2,9.46
3,2.27
4,0.00
5,2.07
6,6.00
7,0.00
8,0.00
9,3.96
10,0.19